CaCdFeF6 after structural relaxation, computed with PBE with a Hubbard U.

Lattice parameters (Å, degrees): 5.0815 5.0815 10.4583 90.00 90.00 90.00
Space group P4_2nm (No. 102)
One atom of each set of equivalent atoms:
Ca  0.0000  0.0000  0.0000
Cd  0.0000  0.0000  0.3321
Fe  0.0000  0.0000  0.6659
F  0.1877  0.1877  0.5079
F  0.1892  0.1892  0.8247
F  0.2117  0.2117  0.1659

* total moment: 4.00 μB per formula unit
* V: 15.003 A^3/atom
* calculated density: 3.96 g/cm³
* E_tot: -90.88 eV per cell